(w)
This record from Alexandria via LeMat-Bulk describes a relaxed structure of PmY6Tl. The functional is GGA-PBE.

Lattice parameters (Å, degrees): 4.9327 4.9327 10.1734 90.00 90.00 90.00
Closest atoms and distances in Å follow each position.
Sites, in units of the cell vectors:
Pm 0.0000 0.0000 0.0000  12 Y 3.49-3.59
Y 0.0000 0.5000 0.2571  8 Y 3.49-3.59, 2 Tl 3.49, 2 Pm 3.59
Y 0.0000 0.5000 0.7429  8 Y 3.49-3.59, 2 Tl 3.49, 2 Pm 3.59
Y 0.5000 0.0000 0.2571  8 Y 3.49-3.59, 2 Tl 3.49, 2 Pm 3.59
Y 0.5000 0.0000 0.7429  8 Y 3.49-3.59, 2 Tl 3.49, 2 Pm 3.59
Y 0.5000 0.5000 0.0000  4 Pm 3.49, 8 Y 3.59
Y 0.5000 0.5000 0.5000  4 Tl 3.49, 8 Y 3.49
Tl 0.0000 0.0000 0.5000  12 Y 3.49

Properties
- Crystal system: tetragonal
- Symmetry: P4/mmm, No. 123
- Calculated density: 5.92 g cm⁻³

---

(x)
This record from Alexandria via LeMat-Bulk describes a relaxed structure of PmY6Tl. The functional is GGA-PBE.

Lattice parameters (Å, degrees): 6.3627 6.3627 6.3627 94.34 94.34 94.34
Closest atoms and distances in Å follow each position.
Sites, in units of the cell vectors:
Pm 0.0000 0.0000 0.0000  12 Y 3.50-3.66
Y 0.0470 0.2594 0.5373  1 Tl 3.19, 2 Y 3.23-3.30, 1 Pm 3.50
Y 0.2594 0.5373 0.0470  1 Tl 3.19, 2 Y 3.23-3.30, 1 Pm 3.50
Y 0.4627 0.9530 0.7406  1 Tl 3.19, 2 Y 3.23-3.30, 1 Pm 3.50
Y 0.5373 0.0470 0.2594  1 Tl 3.19, 2 Y 3.23-3.30, 1 Pm 3.50
Y 0.7406 0.4627 0.9530  1 Tl 3.19, 2 Y 3.23-3.30, 1 Pm 3.50
Y 0.9530 0.7406 0.4627  1 Tl 3.19, 2 Y 3.23-3.30, 1 Pm 3.50
Tl 0.5000 0.5000 0.5000  6 Y 3.19

Properties
- Crystal system: trigonal
- Symmetry: R-3, No. 148
- Calculated density: 5.74 g cm⁻³

---

Which of them is the most stable? Correct choice: (w).